Crystalline Sr2BeRu at its relaxed geometry. Source: Alexandria via LeMat-Bulk, functional PBE.

**Calculated formation energy**: 0.197 eV/atom

Unit cell a=3.3681 b=3.3681 c=8.7158 alpha=90.00 beta=90.00 gamma=90.00
Space group P4mm (No. 99)
Unique sites:
1 Sr 0.0000 0.0000 0.0000 [1 per cell]
2 Sr 0.5000 0.5000 0.4245 [1 per cell]
3 Be 0.0000 0.0000 0.6844 [1 per cell]
4 Ru 0.5000 0.5000 0.7428 [1 per cell]

---

Crystalline Sr2BeRu at its relaxed geometry. Source: Alexandria via LeMat-Bulk, functional PBE.

**Calculated formation energy**: 0.035 eV/atom

Unit cell a=7.0318 b=4.0600 c=8.3877 alpha=90.00 beta=106.05 gamma=90.00
Space group Cm (No. 8)
Unique sites:
1 Sr 0.0000 0.0000 0.0000 [2 per cell]
2 Sr 0.1669 0.0000 0.5064 [2 per cell]
3 Be 0.4168 0.0000 0.2532 [2 per cell]
4 Ru 0.2501 0.5000 0.2533 [2 per cell]

---

Crystalline SrBeRu3 at its relaxed geometry. Source: Alexandria via LeMat-Bulk, functional PBE.

**Calculated formation energy**: 0.590 eV/atom
**Energy above the most stable polymorph in this dataset**: 0.00 eV per formula unit

Unit cell a=4.3683 b=4.3683 c=4.3683 alpha=90.00 beta=90.00 gamma=90.00
Space group Pm-3m (No. 221)
Unique sites:
1 Sr 0.0000 0.0000 0.0000 [1 per cell]
2 Be 0.5000 0.5000 0.5000 [1 per cell]
3 Ru 0.0000 0.5000 0.5000 [3 per cell]

---

Crystalline Sr3BeRu at its relaxed geometry. Source: Alexandria via LeMat-Bulk, functional PBE.

**Calculated formation energy**: 0.677 eV/atom
**Energy above the most stable polymorph in this dataset**: 0.00 eV per formula unit

Unit cell a=5.6595 b=5.6595 c=5.6595 alpha=90.00 beta=90.00 gamma=90.00
Space group Pm-3m (No. 221)
Unique sites:
1 Sr 0.0000 0.0000 0.5000 [3 per cell]
2 Be 0.5000 0.5000 0.5000 [1 per cell]
3 Ru 0.0000 0.0000 0.0000 [1 per cell]

---

Crystalline Sr2BeRu at its relaxed geometry. Source: Alexandria via LeMat-Bulk, functional PBE.

**Calculated formation energy**: 0.923 eV/atom

Unit cell a=3.7379 b=3.7379 c=26.9827 alpha=90.00 beta=90.00 gamma=120.00
Space group R-3m (No. 166, hexagonal axes)
Unique sites:
1 Sr 0.0000 0.0000 0.2443 [6 per cell]
2 Be 0.0000 0.0000 0.0000 [3 per cell]
3 Ru 0.0000 0.0000 0.5000 [3 per cell]

---

Crystalline SrBeTl2Ru at its relaxed geometry. Source: Alexandria via LeMat-Bulk, functional PBE.

**Calculated formation energy**: 0.662 eV/atom

Unit cell a=5.3025 b=5.3025 c=5.5918 alpha=90.00 beta=90.00 gamma=90.00
Space group P4/mmm (No. 123)
Unique sites:
1 Sr 0.0000 0.0000 0.0000 [1 per cell]
2 Be 0.5000 0.5000 0.0000 [1 per cell]
3 Tl 0.0000 0.5000 0.5000 [2 per cell]
4 Ru 0.0000 0.0000 0.5000 [1 per cell]

---

Crystalline SrBeTlRu2 at its relaxed geometry. Source: Alexandria via LeMat-Bulk, functional PBE.

**Calculated formation energy**: 2.381 eV/atom

Unit cell a=5.0018 b=5.0018 c=5.9138 alpha=90.00 beta=90.00 gamma=90.00
Space group P4/mmm (No. 123)
Unique sites:
1 Sr 0.0000 0.0000 0.0000 [1 per cell]
2 Be 0.5000 0.5000 0.5000 [1 per cell]
3 Tl 0.0000 0.0000 0.5000 [1 per cell]
4 Ru 0.0000 0.5000 0.0000 [2 per cell]

---

Crystalline TaBe2Ru at its relaxed geometry. Source: Alexandria via LeMat-Bulk, functional PBE.

**Calculated formation energy**: -0.082 eV/atom
**Energy above the most stable polymorph in this dataset**: 0.93 eV per formula unit

Unit cell a=5.8992 b=5.8992 c=5.8992 alpha=90.00 beta=90.00 gamma=90.00
Space group F-43m (No. 216)
Unique sites:
1 Ta 0.0000 0.0000 0.0000 [4 per cell]
2 Be 0.0000 0.0000 0.5000 [4 per cell]
3 Be 0.2500 0.2500 0.2500 [4 per cell]
4 Ru 0.2500 0.2500 0.7500 [4 per cell]

---

Crystalline TaBe2Ru at its relaxed geometry. Source: Alexandria via LeMat-Bulk, functional PBE.

**Calculated formation energy**: -0.051 eV/atom
**Energy above the most stable polymorph in this dataset**: 1.05 eV per formula unit

Unit cell a=3.1792 b=3.9307 c=4.1009 alpha=90.00 beta=90.00 gamma=90.00
Space group Pmmm (No. 47)
Unique sites:
1 Ta 0.0000 0.0000 0.0000 [1 per cell]
2 Be 0.0000 0.5000 0.5000 [1 per cell]
3 Be 0.5000 0.5000 0.0000 [1 per cell]
4 Ru 0.5000 0.0000 0.5000 [1 per cell]

---

Crystalline TaBeRu2 at its relaxed geometry. Source: Alexandria via LeMat-Bulk, functional PBE.

**Calculated formation energy**: -0.096 eV/atom

Unit cell a=2.7757 b=2.7757 c=7.0736 alpha=90.00 beta=90.00 gamma=90.00
Space group P4mm (No. 99)
Unique sites:
1 Ta 0.0000 0.0000 0.0000 [1 per cell]
2 Be 0.5000 0.5000 0.2468 [1 per cell]
3 Ru 0.0000 0.0000 0.4435 [1 per cell]
4 Ru 0.5000 0.5000 0.6852 [1 per cell]

---

Crystalline TaBeRu2 at its relaxed geometry. Source: Alexandria via LeMat-Bulk, functional PBE.

**Calculated formation energy**: -0.122 eV/atom

Unit cell a=2.8097 b=3.8537 c=5.1692 alpha=90.00 beta=93.73 gamma=90.00
Space group Pm (No. 6)
Unique sites:
1 Ta 0.0000 0.0000 0.0000 [1 per cell]
2 Be 0.4916 0.5000 0.2703 [1 per cell]
3 Ru 0.4716 0.5000 0.7448 [1 per cell]
4 Ru 0.9375 0.0000 0.4688 [1 per cell]

---

Crystalline TaBe3Ru at its relaxed geometry. Source: Alexandria via LeMat-Bulk, functional PBE.

**Calculated formation energy**: 0.494 eV/atom
**Energy above the most stable polymorph in this dataset**: 0.00 eV per formula unit

Unit cell a=4.0152 b=4.0152 c=4.0152 alpha=90.00 beta=90.00 gamma=90.00
Space group Pm-3m (No. 221)
Unique sites:
1 Ta 0.0000 0.0000 0.0000 [1 per cell]
2 Be 0.0000 0.5000 0.5000 [3 per cell]
3 Ru 0.5000 0.5000 0.5000 [1 per cell]